A relaxed SrInGe2 crystal. Source: Alexandria via LeMat-Bulk, functional GGA-PBE.

Cell lengths 5.1162, 6.9956, 11.8168 Å; angles 90.00, 90.00, 90.00 degrees
Closest atoms and distances in Å follow each position.
Sites, in units of the cell vectors:
Sr: 0.7500 0.3536 0.3525  7 Ge 3.32-3.62, 3 In 3.39-3.66
Sr: 0.2500 0.6464 0.6475  7 Ge 3.32-3.62, 3 In 3.39-3.66
Sr: 0.7500 0.8536 0.1475  7 Ge 3.32-3.62, 3 In 3.39-3.66
Sr: 0.2500 0.1464 0.8525  7 Ge 3.32-3.62, 3 In 3.39-3.66
In: 0.7500 0.3496 0.0655  5 Ge 2.83-3.09
In: 0.2500 0.6504 0.9345  5 Ge 2.83-3.09
In: 0.7500 0.8496 0.4345  5 Ge 2.83-3.09
In: 0.2500 0.1504 0.5655  5 Ge 2.83-3.09
Ge: 0.2500 0.0331 0.3363  2 Ge 2.58, 1 In 2.83
Ge: 0.7500 0.9669 0.6637  2 Ge 2.58, 1 In 2.83
Ge: 0.2500 0.5331 0.1637  2 Ge 2.58, 1 In 2.83
Ge: 0.7500 0.4669 0.8363  2 Ge 2.58, 1 In 2.83
Ge: 0.2500 0.1684 0.1335  2 Ge 2.58
Ge: 0.7500 0.8316 0.8665  2 Ge 2.58
Ge: 0.2500 0.6684 0.3665  2 Ge 2.58
Ge: 0.7500 0.3316 0.6335  2 Ge 2.58

Results
calculated formation energy	-0.32	eV per atom
electronic total energy	-3.73	eV/atom
density	5.5	Mg/m³
calculated volume	26.4	Å³ per atom


A relaxed LaTc2Rh crystal. Source: Alexandria via LeMat-Bulk, functional GGA-PBE.

Cell lengths 5.3376, 5.3376, 5.3376 Å; angles 135.93, 135.93, 64.09 degrees
Closest atoms and distances in Å follow each position.
Sites, in units of the cell vectors:
La: 0.2500 0.7500 0.5000  4 Rh 2.83, 8 Tc 3.02
Rh: 0.7500 0.2500 0.5000  4 La 2.83, 8 Tc 3.02
Tc: 0.0000 0.0000 0.0000  4 Tc 2.83, 4 Rh 3.02, 4 La 3.02
Tc: 0.5000 0.5000 0.0000  4 Tc 2.83, 4 La 3.02, 4 Rh 3.02

Results
calculated formation energy	0.41	eV per atom
electronic total energy	-7.84	eV/atom
density	10.0	Mg/m³
calculated volume	18.1	Å³ per atom


A relaxed Cu3As crystal. Source: Alexandria via LeMat-Bulk, functional GGA-PBE.

Cell lengths 2.7790, 2.7790, 8.2753 Å; angles 90.00, 90.00, 120.00 degrees
Closest atoms and distances in Å follow each position.
Sites, in units of the cell vectors:
As: 0.0000 0.0000 0.0000  6 Cu 2.70, 6 As 2.78
Cu: 0.0000 0.0000 0.5000  12 Cu 2.54-2.78
Cu: 0.6667 0.3333 0.2620  9 Cu 2.54-2.78, 3 As 2.70
Cu: 0.6667 0.3333 0.7380  9 Cu 2.54-2.78, 3 As 2.70

Results
calculated formation energy	0.19	eV per atom
electronic total energy	-4.04	eV/atom
density	8.0	Mg/m³
calculated volume	13.8	Å³ per atom


A relaxed Ac2AlPd2 crystal. Source: Alexandria via LeMat-Bulk, functional GGA-PBE.

Cell lengths 4.3194, 6.5972, 10.0552 Å; angles 89.40, 77.60, 70.89 degrees
Closest atoms and distances in Å follow each position.
Sites, in units of the cell vectors:
Ac: 0.6675 0.3371 0.3279  6 Pd 3.13-3.37, 3 Al 3.40-3.41
Ac: 0.9304 0.2491 0.8901  5 Pd 3.13-3.38
Ac: 0.3325 0.6629 0.6721  6 Pd 3.13-3.37, 3 Al 3.40-3.41
Ac: 0.0696 0.7509 0.1099  5 Pd 3.13-3.38
Al: 0.6542 0.0718 0.6198  4 Pd 2.58-2.74
Al: 0.3458 0.9282 0.3802  4 Pd 2.58-2.74
Pd: 0.0816 0.2731 0.5637  3 Al 2.58-2.71
Pd: 0.6254 0.8842 0.8650  1 Al 2.74, 1 Pd 2.94
Pd: 0.9184 0.7269 0.4363  3 Al 2.58-2.71
Pd: 0.3746 0.1158 0.1350  1 Al 2.74, 1 Pd 2.94

Results
calculated formation energy	-0.75	eV per atom
electronic total energy	-5.22	eV/atom
density	8.7	Mg/m³
calculated volume	26.4	Å³ per atom


A relaxed PaMnCrSi2 crystal. Source: Alexandria via LeMat-Bulk, functional GGA-PBE.

Cell lengths 3.9649, 3.9649, 5.7842 Å; angles 110.04, 110.04, 90.00 degrees
Closest atoms and distances in Å follow each position.
Sites, in units of the cell vectors:
Pa: 0.0000 0.0000 0.0000  8 Si 3.05, 4 Cr 3.21, 4 Mn 3.21
Mn: 0.7500 0.2500 0.5000  4 Si 2.38
Cr: 0.2500 0.7500 0.5000  4 Si 2.38
Si: 0.6197 0.6197 0.2394  2 Cr 2.38, 2 Mn 2.38, 1 Si 2.42
Si: 0.3803 0.3803 0.7606  2 Mn 2.38, 2 Cr 2.38, 1 Si 2.42

Results
uncorrected formation energy	-0.473	eV per atom
electronic total energy	-8.30	eV/atom
density	8.2	Mg/m³
calculated volume	15.9	Å³ per atom


A relaxed Nd6SmY3 crystal. Source: Alexandria via LeMat-Bulk, functional GGA-PBE.

Cell lengths 6.2974, 11.2631, 11.2631 Å; angles 120.39, 90.00, 90.00 degrees
Closest atoms and distances in Å follow each position.
Sites, in units of the cell vectors:
Nd: 0.0392 0.7091 0.6251  4 Y 3.52-3.74, 5 Nd 3.53-3.82
Nd: 0.5392 0.6251 0.7091  4 Y 3.52-3.74, 5 Nd 3.53-3.82
Nd: 0.3715 0.5272 0.9462  2 Nd 3.15-3.53, 1 Sm 3.33, 1 Y 3.35
Nd: 0.8715 0.9462 0.5272  2 Nd 3.15-3.53, 1 Sm 3.33, 1 Y 3.35
Nd: 0.4067 0.9596 0.0404  1 Sm 3.37, 2 Nd 3.52, 4 Y 3.58-3.67
Nd: 0.6403 0.2802 0.7198  2 Nd 3.15, 1 Sm 3.37, 1 Y 3.43
Nd: 0.1403 0.7198 0.2802  2 Nd 3.15, 1 Sm 3.37, 1 Y 3.43
Nd: 0.9067 0.0404 0.9596  1 Sm 3.37, 2 Nd 3.52, 4 Y 3.58-3.67
Nd: 0.3715 0.0538 0.4728  2 Nd 3.15-3.53, 1 Sm 3.33, 1 Y 3.35
Nd: 0.8715 0.4728 0.0538  2 Nd 3.15-3.53, 1 Sm 3.33, 1 Y 3.35
Nd: 0.0392 0.3749 0.2909  4 Y 3.52-3.74, 5 Nd 3.53-3.82
Nd: 0.5392 0.2909 0.3749  4 Y 3.52-3.74, 5 Nd 3.53-3.82
Sm: 0.1135 0.1993 0.8007  7 Nd 3.33-3.67, 3 Y 3.36-3.64
Sm: 0.6135 0.8007 0.1993  7 Nd 3.33-3.67, 3 Y 3.36-3.64
Y: 0.4633 0.9432 0.7165  6 Nd 3.35-3.67, 1 Sm 3.36
Y: 0.9633 0.7165 0.9432  6 Nd 3.35-3.67, 1 Sm 3.36
Y: 0.0769 0.3852 0.6148  7 Nd 3.43-3.74, 1 Sm 3.64, 2 Y 3.76
Y: 0.5769 0.6148 0.3852  7 Nd 3.43-3.74, 1 Sm 3.64, 2 Y 3.76
Y: 0.9633 0.0568 0.2835  6 Nd 3.35-3.67, 1 Sm 3.36
Y: 0.4633 0.2835 0.0568  6 Nd 3.35-3.67, 1 Sm 3.36

Results
calculated formation energy	0.13	eV per atom
electronic total energy	-5.14	eV/atom
density	6.2	Mg/m³
calculated volume	34.5	Å³ per atom


A relaxed Ce3Ga crystal. Source: Alexandria via LeMat-Bulk, functional GGA-PBE.

Cell lengths 5.2276, 6.2369, 6.2369 Å; angles 103.45, 88.76, 88.76 degrees
Closest atoms and distances in Å follow each position.
Sites, in units of the cell vectors:
Ce: 0.2508 0.0662 0.0662  4 Ce 2.73-2.85
Ce: 0.7492 0.9338 0.9338  4 Ce 2.73-2.85
Ce: 0.7192 0.8630 0.4869  2 Ce 2.73-2.81
Ce: 0.2808 0.1370 0.5131  2 Ce 2.73-2.81
Ce: 0.2808 0.5131 0.1370  2 Ce 2.73-2.81
Ce: 0.7192 0.4869 0.8630  2 Ce 2.73-2.81
Ga: 0.2294 0.6674 0.6674  10 Ce 3.09-3.30
Ga: 0.7706 0.3326 0.3326  10 Ce 3.09-3.30

Results
calculated formation energy	-0.24	eV per atom
electronic total energy	-5.44	eV/atom
density	8.2	Mg/m³
calculated volume	24.7	Å³ per atom


A relaxed Sr2LaCoTe crystal. Source: Alexandria via LeMat-Bulk, functional GGA-PBE.

Cell lengths 5.7772, 5.7772, 4.9979 Å; angles 90.00, 90.00, 90.00 degrees
Closest atoms and distances in Å follow each position.
Sites, in units of the cell vectors:
Sr: 0.0000 0.5000 0.0000  2 Co 2.89
Sr: 0.5000 0.0000 0.0000  2 Co 2.89
Te: 0.5000 0.5000 0.5000  8 Sr 3.82, 4 La 4.09
Co: 0.0000 0.0000 0.0000  2 La 2.50
La: 0.0000 0.0000 0.5000  2 Co 2.50

Results
uncorrected formation energy	-0.401	eV per atom
electronic total energy	-4.11	eV/atom
density	5.0	Mg/m³
calculated volume	33.4	Å³ per atom


A relaxed KY crystal. Source: Alexandria via LeMat-Bulk, functional GGA-PBE.

Cell lengths 17.8055, 3.6366, 9.6649 Å; angles 90.00, 90.00, 90.00 degrees
Closest atoms and distances in Å follow each position.
Sites, in units of the cell vectors:
K: 0.7925 0.2627 0.7564  2 K 3.64, 1 Y 4.02
K: 0.7075 0.7373 0.2564  2 K 3.64, 1 Y 4.02
K: 0.2075 0.2627 0.7564  2 K 3.64, 1 Y 4.02
K: 0.2925 0.7373 0.2564  2 K 3.64, 1 Y 4.02
K: 0.0000 0.7343 0.0497  2 K 3.64, 1 Y 3.96
K: 0.5000 0.2657 0.5497  2 K 3.64, 1 Y 3.96
Y: 0.9085 0.2346 0.3997  5 Y 3.26-3.64
Y: 0.5915 0.7654 0.8997  5 Y 3.26-3.64
Y: 0.0915 0.2346 0.3997  5 Y 3.26-3.64
Y: 0.4085 0.7654 0.8997  5 Y 3.26-3.64
Y: 0.0000 0.7370 0.6400  6 Y 3.36-3.64
Y: 0.5000 0.2630 0.1400  6 Y 3.36-3.64

Results
calculated formation energy	0.47	eV per atom
electronic total energy	-3.31	eV/atom
density	2.0	Mg/m³
calculated volume	52.2	Å³ per atom


A relaxed Sr2NbTeH crystal. Source: Alexandria via LeMat-Bulk, functional GGA-PBE.

Cell lengths 4.5723, 5.6316, 4.5723 Å; angles 90.00, 90.00, 90.00 degrees
Closest atoms and distances in Å follow each position.
Sites, in units of the cell vectors:
Sr: 0.0000 0.0000 0.5000  2 H 2.29
Sr: 0.5000 0.0000 0.0000  2 H 2.29
Nb: 0.5000 0.5000 0.5000  4 Te 3.23
Te: 0.0000 0.5000 0.0000  2 H 2.82
H: 0.0000 0.0000 0.0000  4 Sr 2.29

Results
electronic total energy	-3.76	eV/atom
density	5.6	Mg/m³
calculated volume	23.5	Å³ per atom


A relaxed CeAgS2 crystal. Source: Alexandria via LeMat-Bulk, functional GGA-PBE.

Cell lengths 4.2681, 7.2484, 7.4162 Å; angles 110.48, 90.00, 90.00 degrees
Closest atoms and distances in Å follow each position.
Sites, in units of the cell vectors:
Ce: 0.7500 0.2342 0.9702  6 S 2.81-2.86
Ce: 0.2500 0.7658 0.0298  6 S 2.81-2.86
Ag: 0.7500 0.3350 0.4685  2 S 2.41-2.44
Ag: 0.2500 0.6650 0.5315  2 S 2.41-2.44
S: 0.2500 0.9897 0.7830  1 Ag 2.44
S: 0.2500 0.4648 0.1950  1 Ag 2.41
S: 0.7500 0.0103 0.2170  1 Ag 2.44
S: 0.7500 0.5352 0.8050  1 Ag 2.41

Results
uncorrected formation energy	-1.215	eV per atom
electronic total energy	-5.48	eV/atom
density	4.8	Mg/m³
calculated volume	26.9	Å³ per atom


A relaxed MgScIrRu crystal. Source: Alexandria via LeMat-Bulk, functional GGA-PBE.

Cell lengths 4.4868, 4.4868, 4.4868 Å; angles 60.00, 60.00, 60.00 degrees
Closest atoms and distances in Å follow each position.
Sites, in units of the cell vectors:
Sc: 0.5000 0.5000 0.5000  4 Ru 2.75, 4 Ir 2.75
Ru: 0.7500 0.7500 0.7500  4 Sc 2.75, 4 Mg 2.75
Mg: 0.0000 0.0000 0.0000  4 Ir 2.75, 4 Ru 2.75
Ir: 0.2500 0.2500 0.2500  4 Mg 2.75, 4 Sc 2.75

Results
calculated formation energy	-0.44	eV per atom
electronic total energy	-6.95	eV/atom
density	9.4	Mg/m³
calculated volume	16.0	Å³ per atom


A relaxed AlSeCl3 crystal. Source: Alexandria via LeMat-Bulk, functional GGA-PBE.

Cell lengths 4.8343, 4.8343, 4.8343 Å; angles 90.00, 90.00, 90.00 degrees
Closest atoms and distances in Å follow each position.
Sites, in units of the cell vectors:
Al: 0.0000 0.0000 0.0000  6 Cl 2.42
Se: 0.5000 0.5000 0.5000  12 Cl 3.42
Cl: 0.0000 0.5000 0.0000  2 Al 2.42
Cl: 0.0000 0.0000 0.5000  2 Al 2.42
Cl: 0.5000 0.0000 0.0000  2 Al 2.42

Results
uncorrected formation energy	-0.404	eV per atom
electronic total energy	-2.96	eV/atom
density	3.1	Mg/m³
calculated volume	22.6	Å³ per atom


A relaxed Pm3Y5Te12 crystal. Source: Alexandria via LeMat-Bulk, functional GGA-PBE.

Cell lengths 15.8135, 15.8135, 15.8135 Å; angles 109.47, 109.47, 109.47 degrees
Closest atoms and distances in Å follow each position.
Sites, in units of the cell vectors:
Y: 0.1250 0.3750 0.2500  4 Te 2.90
Y: 0.0000 0.5000 0.0000  6 Te 3.09
Y: 0.0000 0.0000 0.0000  6 Te 3.09
Y: 0.3750 0.2500 0.1250  4 Te 2.90
Y: 0.5000 0.0000 0.5000  6 Te 3.09
Y: 0.5000 0.5000 0.0000  6 Te 3.09
Y: 0.1250 0.7500 0.3750  4 Te 2.90
Y: 0.7500 0.1250 0.8750  4 Te 2.90
Y: 0.7500 0.6250 0.3750  4 Te 2.90
Y: 0.3750 0.1250 0.7500  4 Te 2.90
Y: 0.6250 0.8750 0.2500  4 Te 2.90
Y: 0.5000 0.5000 0.5000  6 Te 3.09
Y: 0.5000 0.0000 0.0000  6 Te 3.09
Y: 0.0000 0.0000 0.5000  6 Te 3.09
Y: 0.2500 0.3750 0.6250  4 Te 2.90
Y: 0.2500 0.8750 0.1250  4 Te 2.90
Y: 0.0000 0.5000 0.5000  6 Te 3.09
Y: 0.8750 0.2500 0.6250  4 Te 2.90
Y: 0.6250 0.7500 0.8750  4 Te 2.90
Y: 0.8750 0.6250 0.7500  4 Te 2.90
Te: 0.7227 0.1293 0.0486  2 Y 2.90-3.09
Te: 0.3258 0.5486 0.4192  2 Y 2.90-3.09
Te: 0.9514 0.3707 0.2773  2 Y 2.90-3.09
Te: 0.5486 0.2227 0.1293  2 Y 2.90-3.09
Te: 0.5934 0.7227 0.6742  2 Y 2.90-3.09
Te: 0.9514 0.5808 0.1742  2 Y 2.90-3.09
Te: 0.3258 0.7773 0.4066  2 Y 2.90-3.09
Te: 0.0808 0.9066 0.1293  2 Y 2.90-3.09
Te: 0.5808 0.9514 0.6742  2 Y 2.90-3.09
Te: 0.7227 0.5934 0.1742  2 Y 2.90-3.09
Te: 0.7773 0.4514 0.3707  2 Y 2.90-3.09
Te: 0.8258 0.9192 0.0486  2 Y 2.90-3.09
Te: 0.1293 0.7227 0.5486  2 Y 2.90-3.09
Te: 0.3707 0.4192 0.0934  2 Y 2.90-3.09
Te: 0.0934 0.9192 0.3707  2 Y 2.90-3.09
Te: 0.4066 0.1293 0.5808  2 Y 2.90-3.09
Te: 0.0934 0.1742 0.2227  2 Y 2.90-3.09
Te: 0.4514 0.6742 0.0808  2 Y 2.90-3.09
Te: 0.8258 0.9066 0.2773  2 Y 2.90-3.09
Te: 0.1293 0.4066 0.0808  2 Y 2.90-3.09
Te: 0.3707 0.9514 0.7773  2 Y 2.90-3.09
Te: 0.5808 0.6293 0.4066  2 Y 2.90-3.09
Te: 0.9192 0.8258 0.5486  2 Y 2.90-3.09
Te: 0.7773 0.3258 0.9066  2 Y 2.90-3.09
Te: 0.4192 0.3707 0.5934  2 Y 2.90-3.09
Te: 0.0808 0.1742 0.4514  2 Y 2.90-3.09
Te: 0.2227 0.6742 0.0934  2 Y 2.90-3.09
Te: 0.1742 0.0934 0.7227  2 Y 2.90-3.09
Te: 0.6293 0.0486 0.2227  2 Y 2.90-3.09
Te: 0.8707 0.5934 0.9192  2 Y 2.90-3.09
Te: 0.5486 0.3258 0.9192  2 Y 2.90-3.09
Te: 0.5934 0.8707 0.4192  2 Y 2.90-3.09
Te: 0.9066 0.8258 0.7773  2 Y 2.90-3.09
Te: 0.9066 0.0808 0.6293  2 Y 2.90-3.09
Te: 0.8707 0.2773 0.4514  2 Y 2.90-3.09
Te: 0.1742 0.0808 0.9514  2 Y 2.90-3.09
Te: 0.6293 0.5808 0.9066  2 Y 2.90-3.09
Te: 0.4192 0.0486 0.3258  2 Y 2.90-3.09
Te: 0.2773 0.4066 0.8258  2 Y 2.90-3.09
Te: 0.2227 0.5486 0.6293  2 Y 2.90-3.09
Te: 0.9192 0.0934 0.8707  2 Y 2.90-3.09
Te: 0.6742 0.2227 0.5934  2 Y 2.90-3.09
Te: 0.4514 0.7773 0.8707  2 Y 2.90-3.09
Te: 0.0486 0.4192 0.8258  2 Y 2.90-3.09
Te: 0.4066 0.2773 0.3258  2 Y 2.90-3.09
Te: 0.0486 0.6293 0.7227  2 Y 2.90-3.09
Te: 0.6742 0.4514 0.5808  2 Y 2.90-3.09
Te: 0.2773 0.8707 0.9514  2 Y 2.90-3.09
Pm: 0.7500 0.3750 0.1250  8 Te 3.33-3.49
Pm: 0.8750 0.7500 0.1250  8 Te 3.33-3.49
Pm: 0.3750 0.7500 0.6250  8 Te 3.33-3.49
Pm: 0.2500 0.1250 0.3750  8 Te 3.33-3.49
Pm: 0.8750 0.1250 0.2500  8 Te 3.33-3.49
Pm: 0.3750 0.6250 0.2500  8 Te 3.33-3.49
Pm: 0.6250 0.3750 0.7500  8 Te 3.33-3.49
Pm: 0.1250 0.8750 0.7500  8 Te 3.33-3.49
Pm: 0.7500 0.8750 0.6250  8 Te 3.33-3.49
Pm: 0.6250 0.2500 0.3750  8 Te 3.33-3.49
Pm: 0.1250 0.2500 0.8750  8 Te 3.33-3.49
Pm: 0.2500 0.6250 0.8750  8 Te 3.33-3.49

Results
uncorrected formation energy	-1.213	eV per atom
electronic total energy	-5.43	eV/atom
density	5.3	Mg/m³
calculated volume	38.1	Å³ per atom